This record from the Alexandria database describes Ac3TlNiCl after structural relaxation. The functional is PBE-GGA.

## Properties
calculated volume: 201.79 Å³/f.u.
raw formation energy: -0.624 eV/atom

a = 8.5673 Å, b = 4.3239 Å, c = 11.4695 Å
α = 90.00°, β = 108.22°, γ = 90.00°
Last column: nearest neighbours and their distance in Å.
Space group P2_1/m (No. 11)
Asymmetric unit:
Ac1 0.0554 0.2500 0.3696 x2  3 Ni 2.91-2.98
Ac2 0.2033 0.2500 0.9533 x2  3 Cl 3.02-3.19
Ac3 0.4263 0.7500 0.6432 x2  1 Cl 2.94, 2 Ni 2.97
Tl1 0.2280 0.7500 0.2032 x2  7 Ac 3.50-3.65
Ni1 0.1866 0.2500 0.6367 x2  5 Ac 2.91-2.98
Cl1 0.4138 0.7500 0.8962 x2  4 Ac 2.94-3.19, 2 Cl 3.21

This record from the Alexandria database describes Co2CuPt8 after structural relaxation. The functional is PBE-GGA.

## Properties
calculated volume: 165.93 Å³/f.u.
energy of formation: -8 meV/atom

a = 4.0096 Å, b = 7.1986 Å, c = 11.4977 Å
α = 90.00°, β = 90.00°, γ = 90.00°
Last column: nearest neighbours and their distance in Å.
Space group Immm (No. 71)
Asymmetric unit:
Co1 0.0000 0.0000 0.1930 x4  10 Pt 2.60-2.71
Cu1 0.0000 0.0000 0.5000 x2  8 Pt 2.63-2.70
Pt1 0.0000 0.1908 0.0000 x4  2 Co 2.61, 7 Pt 2.73-2.81
Pt2 0.0000 0.2747 0.3403 x8  3 Co 2.60-2.61, 1 Cu 2.70, 7 Pt 2.73-2.91
Pt3 0.0000 0.5000 0.1486 x4  2 Cu 2.63, 2 Co 2.71, 8 Pt 2.74-2.82

This record from the Alexandria database describes K2TlSbS4 after structural relaxation. The functional is PBE-GGA.

## Properties
calculated volume: 210.49 Å³/f.u.
raw formation energy: -0.588 eV/atom

a = 11.8724 Å, b = 11.9306 Å, c = 8.3848 Å
α = 90.00°, β = 134.85°, γ = 90.00°
Last column: nearest neighbours and their distance in Å.
Space group C2/c (No. 15)
Asymmetric unit:
K1 0.0000 0.0000 0.0000 x4  6 S 3.13-3.16
K2 0.2500 0.2500 0.0000 x4  6 S 3.15-3.16
Tl1 0.2500 0.2500 0.5000 x4  6 S 2.80-2.82
Sb1 0.0000 0.5000 0.0000 x4  6 S 2.82-2.83
S1 0.0009 0.2640 0.4711 x8  2 Tl 2.80-2.81, 1 Sb 2.83
S2 0.2233 0.4854 0.4730 x8  1 Tl 2.82, 2 Sb 2.82, 2 K 3.13-3.14

This record from the Alexandria database describes Mg3Tc after structural relaxation. The functional is PBE-GGA.

## Properties
calculated volume: 71.20 Å³/f.u.
energy of formation: 213 meV/atom

a = 4.0891 Å, b = 4.0891 Å, c = 8.5170 Å
α = 90.00°, β = 90.00°, γ = 90.00°
Last column: nearest neighbours and their distance in Å.
Space group I4/mmm (No. 139)
Asymmetric unit:
Mg1 0.0000 0.0000 0.0000 x2  4 Tc 2.89, 8 Mg 2.95
Mg2 0.0000 0.5000 0.2500 x4  8 Mg 2.89-2.95, 4 Tc 2.95
Tc1 0.0000 0.0000 0.5000 x2  12 Mg 2.89-2.95

This record from the Alexandria database describes ThGa3OsRh after structural relaxation. The functional is PBE-GGA.

## Properties
calculated volume: 125.43 Å³/f.u.
energy of formation: -262 meV/atom

a = 7.9729 Å, b = 10.3772 Å, c = 6.0638 Å
α = 90.00°, β = 90.00°, γ = 90.00°
Last column: nearest neighbours and their distance in Å.
Space group Cmcm (No. 63)
Asymmetric unit:
Th1 0.0000 0.2418 0.2500 x4  1 Os 2.74, 1 Rh 2.76, 2 Ga 3.04
Ga1 0.0000 0.2580 0.7500 x4  1 Rh 2.43, 1 Os 2.44
Ga2 0.2492 0.5000 0.0000 x8  2 Rh 2.50, 2 Os 2.52
Os1 0.0000 0.0226 0.7500 x4  5 Ga 2.44-2.52
Rh1 0.0000 0.4919 0.7500 x4  5 Ga 2.43-2.50

This record from the Alexandria database describes Pm5TlGe2 after structural relaxation. The functional is PBE-GGA.

## Properties
calculated volume: 230.20 Å³/f.u.
energy of formation: -597 meV/atom

a = 7.9882 Å, b = 7.9882 Å, c = 14.4302 Å
α = 90.00°, β = 90.00°, γ = 90.00°
Last column: nearest neighbours and their distance in Å.
Space group I4/mcm (No. 140)
Asymmetric unit:
Pm1 0.0000 0.0000 0.0000 x4  4 Ge 3.11
Pm2 0.1658 0.3342 0.1403 x16  3 Ge 3.02-3.16, 2 Tl 3.37
Tl1 0.0000 0.0000 0.2500 x4  10 Pm 3.37-3.61
Ge1 0.1358 0.3642 0.5000 x8  8 Pm 3.02-3.16, 1 Ge 3.07

This record from the Alexandria database describes Ba2SrLiBr after structural relaxation. The functional is PBE-GGA.

## Properties
calculated volume: 254.48 Å³/f.u.
raw formation energy: -0.397 eV/atom

a = 6.4920 Å, b = 6.4920 Å, c = 6.0379 Å
α = 90.00°, β = 90.00°, γ = 90.00°
Last column: nearest neighbours and their distance in Å.
Space group P4/mmm (No. 123)
Asymmetric unit:
Ba1 0.0000 0.5000 0.0000 x2  2 Br 3.25
Sr1 0.0000 0.0000 0.5000 x1  2 Br 3.02
Li1 0.5000 0.5000 0.5000 x1  8 Ba 4.43, 4 Sr 4.59
Br1 0.0000 0.0000 0.0000 x1  2 Sr 3.02, 4 Ba 3.25

This record from the Alexandria database describes Fe2NiAs after structural relaxation. The functional is PBE-GGA.

## Properties
calculated volume: 49.30 Å³/f.u.
energy of formation: 61 meV/atom

a = 4.9231 Å, b = 7.3126 Å, c = 2.7391 Å
α = 90.00°, β = 90.39°, γ = 90.00°
Last column: nearest neighbours and their distance in Å.
Space group C2/m (No. 12)
Asymmetric unit:
Fe1 0.2500 0.2500 0.0000 x4  4 Fe 2.46-2.74, 4 As 2.59-2.60, 4 Ni 2.59-2.60
Ni1 0.0000 0.0000 0.5000 x2  2 As 2.46, 8 Fe 2.59-2.60, 2 Ni 2.74
As1 0.0000 0.5000 0.5000 x2  2 Ni 2.46, 8 Fe 2.59-2.60, 2 As 2.74